A plane-wave DFT calculation with GGA+U was carried out for a relaxed MgPbWO6 crystal.

Uncorrected energy: -57.26 eV/f.u.
Crystal system: trigonal
Mass density: 7.4 g/cm3

Cell and atoms, written as CIF:
```
data_MgPbWO6
_chemical_formula_sum 'Mg2 Pb2 W2 O12'
_cell_length_a 5.3884
_cell_length_b 5.3884
_cell_length_c 9.1356
_cell_angle_alpha 90.00
_cell_angle_beta 90.00
_cell_angle_gamma 120.00
_symmetry_space_group_name_H-M 'P -3 1 c'
_symmetry_Int_Tables_number 163
_symmetry_space_group_name_Hall '-P 3 2c'
loop_
_atom_site_label
_atom_site_fract_x
_atom_site_fract_y
_atom_site_fract_z
Mg1 0.0000 0.0000 0.0000
Pb1 0.3333 0.6667 0.2500
W1 0.3333 0.6667 0.7500
O1 0.0350 0.3623 0.6290
```